The following is a DFT calculation (PBE) of a relaxed Pd2S crystal.

Properties
Its symmetry is No. 26. Its energy relative to the elements, uncorrected is -0.092 eV/atom.

Lattice parameters (Å, degrees): 3.3334 13.0619 8.9758 90.00 90.00 90.00
Last column: nearest neighbours and their distance in Å.
Fractional positions:
Pd 0.0000 0.0261 0.0000  3 S 2.34-2.47
Pd 0.0000 0.2085 0.3875  3 S 2.40-2.50
Pd 0.0000 0.3653 0.5995  2 S 2.36
Pd 0.0000 0.4388 0.9540  3 S 2.43-2.51
Pd 0.0000 0.5612 0.4540  3 S 2.43-2.51
Pd 0.0000 0.6347 0.0995  2 S 2.36
Pd 0.0000 0.7915 0.8875  3 S 2.40-2.50
Pd 0.0000 0.9739 0.5000  3 S 2.34-2.47
Pd 0.5000 0.1392 0.6204  3 S 2.41-2.45
Pd 0.5000 0.1732 0.1292  3 S 2.44-2.56
Pd 0.5000 0.2799 0.8605  3 S 2.40-2.41
Pd 0.5000 0.3821 0.3416  3 S 2.41-2.46
Pd 0.5000 0.6179 0.8416  3 S 2.41-2.46
Pd 0.5000 0.7201 0.3605  3 S 2.40-2.41
Pd 0.5000 0.8268 0.6292  3 S 2.44-2.56
Pd 0.5000 0.8608 0.1204  3 S 2.41-2.45
S 0.0000 0.1511 0.8137  5 Pd 2.34-2.41
S 0.0000 0.3199 0.1618  6 Pd 2.43-2.56
S 0.0000 0.6801 0.6618  6 Pd 2.43-2.56
S 0.0000 0.8489 0.3137  5 Pd 2.34-2.41
S 0.5000 0.0771 0.3626  6 Pd 2.40-2.47
S 0.5000 0.4459 0.7448  6 Pd 2.36-2.51
S 0.5000 0.5541 0.2448  6 Pd 2.36-2.51
S 0.5000 0.9229 0.8626  6 Pd 2.40-2.47

=====

The following is a DFT calculation (PBE) of a relaxed PdS8 crystal.

Properties
Its symmetry is No. 12. Its energy relative to the elements, uncorrected is 0.113 eV/atom.

Lattice parameters (Å, degrees): 5.8827 5.8827 9.0392 105.20 105.20 61.34
Last column: nearest neighbours and their distance in Å.
Fractional positions:
Pd 0.0000 0.0000 0.0000  4 S 2.36-2.40
S 0.0201 0.0201 0.2673  1 S 1.93
S 0.2040 0.2040 0.4136  1 S 1.93
S 0.2463 0.2463 0.0472  1 S 1.93
S 0.3620 0.3620 0.2604  1 S 1.93
S 0.6380 0.6380 0.7396  1 S 1.93
S 0.7537 0.7537 0.9528  1 S 1.93
S 0.7960 0.7960 0.5864  1 S 1.93
S 0.9799 0.9799 0.7327  1 S 1.93

=====

The following is a DFT calculation (PBE) of a relaxed PdS crystal.

Properties
Its symmetry is No. 70. Its energy relative to the elements, uncorrected is -0.008 eV/atom.

Lattice parameters (Å, degrees): 7.1046 6.8311 5.7795 67.99 63.05 48.96
Last column: nearest neighbours and their distance in Å.
Fractional positions:
Pd 0.0020 0.0020 0.7480  4 S 2.38-2.39
Pd 0.2520 0.2520 0.9980  4 S 2.38-2.39
Pd 0.7480 0.7480 0.0020  4 S 2.38-2.39
Pd 0.9980 0.9980 0.2520  4 S 2.38-2.39
S 0.0963 0.6537 0.0963  4 Pd 2.38-2.39
S 0.3463 0.9037 0.3463  4 Pd 2.38-2.39
S 0.6537 0.0963 0.6537  4 Pd 2.38-2.39
S 0.9037 0.3463 0.9037  4 Pd 2.38-2.39

=====

The following is a DFT calculation (PBE) of a relaxed Pd5S crystal.

Properties
Its symmetry is No. 65. Its energy relative to the elements, uncorrected is 0.062 eV/atom.

Lattice parameters (Å, degrees): 5.0538 5.0538 4.5170 90.00 90.00 127.55
Last column: nearest neighbours and their distance in Å.
Fractional positions:
Pd 0.0000 0.0000 0.0000  8 Pd 2.65-2.66
Pd 0.1560 0.8440 0.5000  2 S 2.64, 7 Pd 2.66-2.83
Pd 0.3417 0.6583 0.0000  7 Pd 2.65-2.87, 2 S 2.68
Pd 0.6583 0.3417 0.0000  7 Pd 2.65-2.87, 2 S 2.68
Pd 0.8440 0.1560 0.5000  2 S 2.64, 7 Pd 2.66-2.83
S 0.5000 0.5000 0.5000  8 Pd 2.64-2.68

=====

no.,V (Å³ per atom),total magnetic moment (μB/atom)
1,16.284,0.000
2,29.047,0.000
3,23.417,0.000
4,15.245,0.000